# 1
Material: LaAl2Tc
Method: DFT, meta-GGA SCAN
State: PBEsol geometry

## Properties
DFT total energy: -23.173 eV/atom
Fermi-level density of states: 4.76 states/eV per cell
theoretical density: 6.45 g/cm3
polymorph energy (0 for the lowest one): 243.3 meV per atom
SG: No. 160

Cell lengths 2.9917, 2.9917, 9.8087 Å; angles 81.23, 81.23, 60.00 degrees
Fractional positions:
Al1 0.9939 0.9939 0.0184
Tc1 0.2615 0.2615 0.2155
La1 0.5050 0.5050 0.4850
Al2 0.7396 0.7396 0.7811

---

# 2
Material: LaAl2Tc
Method: DFT, meta-GGA SCAN
State: PBEsol geometry

## Properties
DFT total energy: -23.264 eV/atom
Fermi-level density of states: 4.92 states/eV per cell
theoretical density: 4.89 g/cm3
polymorph energy (0 for the lowest one): 152.3 meV per atom
SG: No. 122

Cell lengths 4.8139, 4.8139, 9.1863 Å; angles 105.19, 105.19, 90.00 degrees
Fractional positions:
La1 0.0000 0.0000 0.0000
Al1 0.6645 0.3750 0.2500
Al2 0.5855 0.8750 0.2500
Tc1 0.7500 0.2500 0.5000
Al3 0.1250 0.3355 0.7500
Al4 0.6250 0.4145 0.7500
La2 0.2500 0.7500 0.5000
Tc2 0.5000 0.5000 0.0000

---

# 3
Material: LaAl2Te
Method: DFT, meta-GGA SCAN
State: PBEsol geometry

## Properties
DFT total energy: -24.163 eV/atom
Fermi-level density of states: 6.92 states/eV per cell
formation energy without anion corrections: -0.199 eV/atom
theoretical density: 5.03 g/cm3
SG: No. 122

Cell lengths 6.1787, 6.6176, 6.6176 Å; angles 77.41, 62.17, 62.17 degrees
Fractional positions:
Al1 0.8750 0.5275 0.9725
Te1 0.5000 0.0000 0.0000
Al2 0.3750 0.4725 0.0275
Te2 0.2500 0.5000 0.5000
La1 0.0000 0.0000 0.0000
Al3 0.5975 0.0275 0.5275
Al4 0.1525 0.9725 0.4725
La2 0.7500 0.5000 0.5000

---

# 4
Material: LaAl2Te
Method: DFT, meta-GGA SCAN
State: PBEsol geometry

## Properties
DFT total energy: -24.241 eV/atom
Fermi-level density of states: 2.34 states/eV per cell
formation energy without anion corrections: -0.276 eV/atom
theoretical density: 5.41 g/cm3
SG: No. 216

Cell lengths 5.1830, 5.1830, 5.1830 Å; angles 60.00, 60.00, 60.00 degrees
Fractional positions:
Te1 0.2500 0.2500 0.2500
Al1 0.7500 0.7500 0.7500
Al2 0.0000 0.0000 0.0000
La1 0.5000 0.5000 0.5000

---

# 5
Material: LaAl2Te
Method: DFT, meta-GGA SCAN
State: PBEsol geometry

## Properties
DFT total energy: -24.407 eV/atom
Fermi-level density of states: 1.72 states/eV per cell
formation energy without anion corrections: -0.442 eV/atom
theoretical density: 5.53 g/cm3
SG: No. 44

Cell lengths 4.5114, 4.5805, 5.6619 Å; angles 113.88, 113.48, 90.00 degrees
Fractional positions:
Al1 0.7453 0.2456 0.4905
Te1 0.2461 0.7458 0.4922
La1 0.4950 0.4951 0.9901
Al2 0.0136 0.0135 0.0272

---

# 6
Material: LaTi2Al20
Method: DFT, meta-GGA SCAN
State: PBEsol geometry

## Properties
DFT total energy: -10.267 eV/atom
Fermi-level density of states: 14.92 states/eV per cell
theoretical density: 3.28 g/cm3
SG: No. 227

Cell lengths 10.3508, 10.3508, 10.3508 Å; angles 60.00, 60.00, 60.00 degrees
Fractional positions:
Al1 0.8877 0.6123 0.6123
Al2 0.7992 0.3327 0.0689
Al3 0.4508 0.1811 0.4508
Al4 0.3327 0.7992 0.7992
Al5 0.6123 0.8877 0.8877
Al6 0.3623 0.3623 0.6377
Al7 0.6377 0.6377 0.3623
La1 0.0000 0.0000 0.0000
Al8 0.4508 0.4508 0.1811
Al9 0.6250 0.1250 0.1250
Al10 0.9173 0.1811 0.4508
Al11 0.6377 0.3623 0.6377
Al12 0.7992 0.0689 0.3327
Al13 0.4508 0.1811 0.9173
Al14 0.7992 0.7992 0.0689
Al15 0.7992 0.0689 0.7992
Al16 0.1811 0.4508 0.4508
Al17 0.1250 0.1250 0.6250
Al18 0.9173 0.4508 0.1811
Al19 0.3327 0.7992 0.0689
Al20 0.6377 0.3623 0.3623
Al21 0.3623 0.6377 0.6377
Al22 0.0689 0.7992 0.3327
Ti1 0.6250 0.6250 0.6250
Al23 0.0689 0.7992 0.7992
Al24 0.4508 0.4508 0.9173
Al25 0.8877 0.8877 0.6123
Ti2 0.1250 0.6250 0.6250
Ti3 0.6250 0.1250 0.6250
Al26 0.7992 0.3327 0.7992
Al27 0.6123 0.6123 0.8877
Al28 0.8877 0.6123 0.8877
Al29 0.4508 0.9173 0.1811
Al30 0.3623 0.6377 0.3623
Al31 0.1250 0.1250 0.1250
Al32 0.9173 0.4508 0.4508
Al33 0.6123 0.8877 0.6123
Al34 0.4508 0.9173 0.4508
Al35 0.7992 0.7992 0.3327
Al36 0.3327 0.0689 0.7992
Al37 0.1811 0.9173 0.4508
La2 0.2500 0.2500 0.2500
Al38 0.1250 0.6250 0.1250
Al39 0.1811 0.4508 0.9173
Ti4 0.6250 0.6250 0.1250
Al40 0.0689 0.3327 0.7992

---

# 7
Material: LaAlTl
Method: DFT, meta-GGA SCAN
State: PBEsol geometry

## Properties
DFT total energy: -41.581 eV/atom
Fermi-level density of states: 1.63 states/eV per cell
theoretical density: 8.07 g/cm3
SG: No. 156

Cell lengths 3.8327, 4.7902, 4.7902 Å; angles 120.00, 90.00, 90.00 degrees
Fractional positions:
Tl1 0.1657 0.3333 0.6667
Al1 0.1679 0.0000 0.0000
La1 0.6664 0.6667 0.3333

---

# 8
Material: LaAl2Tl2
Method: DFT, meta-GGA SCAN
State: PBEsol geometry

## Properties
DFT total energy: -40.931 eV/atom
Fermi-level density of states: 2.24 states/eV per cell
theoretical density: 8.23 g/cm3
SG: No. 139

Cell lengths 4.4122, 4.4122, 6.9710 Å; angles 108.45, 108.45, 90.00 degrees
Fractional positions:
Al1 0.2500 0.7500 0.5000
Tl1 0.6156 0.6156 0.2312
Al2 0.7500 0.2500 0.5000
La1 0.0000 0.0000 0.0000
Tl2 0.3844 0.3844 0.7688

---

# 9
Material: LaAl20V2
Method: DFT, meta-GGA SCAN
State: PBEsol geometry

## Properties
DFT total energy: -10.360 eV/atom
Fermi-level density of states: 15.14 states/eV per cell
theoretical density: 3.41 g/cm3
SG: No. 227

Cell lengths 10.2425, 10.2425, 10.2425 Å; angles 60.00, 60.00, 60.00 degrees
Fractional positions:
Al1 0.6250 0.1250 0.1250
Al2 0.4514 0.4514 0.9157
Al3 0.3343 0.0685 0.7986
V1 0.6250 0.6250 0.1250
Al4 0.7986 0.3343 0.0685
Al5 0.1250 0.6250 0.1250
Al6 0.4514 0.9157 0.4514
Al7 0.4514 0.9157 0.1815
Al8 0.1250 0.1250 0.1250
Al9 0.6377 0.3623 0.3623
Al10 0.9157 0.1815 0.4514
La1 0.0000 0.0000 0.0000
Al11 0.1250 0.1250 0.6250
Al12 0.3623 0.6377 0.3623
Al13 0.3623 0.3623 0.6377
Al14 0.6123 0.8877 0.8877
Al15 0.7986 0.0685 0.7986
Al16 0.6377 0.6377 0.3623
Al17 0.8877 0.8877 0.6123
Al18 0.4514 0.1815 0.4514
Al19 0.7986 0.7986 0.3343
Al20 0.8877 0.6123 0.8877
La2 0.2500 0.2500 0.2500
V2 0.1250 0.6250 0.6250
Al21 0.6123 0.6123 0.8877
Al22 0.7986 0.0685 0.3343
Al23 0.6377 0.3623 0.6377
Al24 0.9157 0.4514 0.4514
Al25 0.8877 0.6123 0.6123
Al26 0.7986 0.3343 0.7986
Al27 0.1815 0.9157 0.4514
Al28 0.3623 0.6377 0.6377
Al29 0.0685 0.7986 0.3343
Al30 0.0685 0.3343 0.7986
Al31 0.4514 0.4514 0.1815
Al32 0.6123 0.8877 0.6123
Al33 0.9157 0.4514 0.1815
V3 0.6250 0.6250 0.6250
Al34 0.0685 0.7986 0.7986
Al35 0.7986 0.7986 0.0685
V4 0.6250 0.1250 0.6250
Al36 0.4514 0.1815 0.9157
Al37 0.3343 0.7986 0.7986
Al38 0.1815 0.4514 0.4514
Al39 0.1815 0.4514 0.9157
Al40 0.3343 0.7986 0.0685

---

# 10
Material: LaAl2W
Method: DFT, meta-GGA SCAN
State: PBEsol geometry

## Properties
DFT total energy: -31.629 eV/atom
Fermi-level density of states: 1.55 states/eV per cell
theoretical density: 8.35 g/cm3
polymorph energy (0 for the lowest one): 234.4 meV per atom
SG: No. 216

Cell lengths 4.7313, 4.7313, 4.7313 Å; angles 60.00, 60.00, 60.00 degrees
Fractional positions:
Al1 0.0000 0.0000 0.0000
W1 0.7500 0.7500 0.7500
La1 0.5000 0.5000 0.5000
Al2 0.2500 0.2500 0.2500

---

# 11
Material: LaAl2W
Method: DFT, meta-GGA SCAN
State: PBEsol geometry

## Properties
DFT total energy: -31.468 eV/atom
Fermi-level density of states: 5.63 states/eV per cell
theoretical density: 6.52 g/cm3
polymorph energy (0 for the lowest one): 396.1 meV per atom
SG: No. 122

Cell lengths 4.5683, 4.5683, 9.7445 Å; angles 103.56, 103.56, 90.00 degrees
Fractional positions:
Al1 0.6250 0.7678 0.7500
La1 0.7500 0.2500 0.5000
Al2 0.0178 0.3750 0.2500
Al3 0.2322 0.8750 0.2500
W1 0.0000 0.0000 0.0000
W2 0.2500 0.7500 0.5000
Al4 0.1250 0.9822 0.7500
La2 0.5000 0.5000 0.0000

---

# 12
Material: LaAlW2
Method: DFT, meta-GGA SCAN
State: PBEsol geometry

## Properties
DFT total energy: -46.646 eV/atom
Fermi-level density of states: 3.94 states/eV per cell
theoretical density: 12.03 g/cm3
SG: No. 139

Cell lengths 4.2120, 4.2120, 5.1103 Å; angles 114.34, 114.34, 90.00 degrees
Fractional positions:
W1 0.7500 0.2500 0.5000
W2 0.2500 0.7500 0.5000
Al1 0.0000 0.0000 0.0000
La1 0.5000 0.5000 0.0000